(1)
## Nd2CdCu2 (PBE)

Data for a relaxed structure of Nd2CdCu2.

a b c (Å): 7.5521 7.5521 3.7162
angles (deg): 90.00 90.00 146.55
Closest atoms and distances in Å follow each position.
Element x y z (fractional)
Cd1 0.0000 0.0000 0.5000  2 Cu 2.92
Nd1 0.3658 0.6342 0.0000  6 Cu 3.01-3.02
Nd2 0.6342 0.3658 0.0000  6 Cu 3.01-3.02
Cu1 0.2022 0.7978 0.5000  2 Cu 2.58
Cu2 0.7978 0.2022 0.5000  2 Cu 2.58

Summary:
**ΔH_f (0 K)**: -262 meV/atom

(2)
## Pm2ErPuSe4 (PBE)

Data for a relaxed structure of Pm2ErPuSe4.

a b c (Å): 4.1172 7.1717 7.2043
angles (deg): 109.09 90.00 90.00
Closest atoms and distances in Å follow each position.
Element x y z (fractional)
Er1 0.0000 0.0000 0.0000  6 Se 2.87
Pm1 0.0000 0.5000 0.5000  6 Se 2.98-2.99
Pm2 0.5000 0.0000 0.5000  6 Se 2.95
Pu1 0.5000 0.5000 0.0000  6 Se 2.91
Se1 0.5000 0.7578 0.7612  2 Er 2.87, 1 Pu 2.91, 3 Pm 2.95-2.99
Se2 0.0000 0.2488 0.7582  1 Er 2.87, 2 Pu 2.91, 3 Pm 2.95-2.98
Se3 0.5000 0.2422 0.2388  2 Er 2.87, 1 Pu 2.91, 3 Pm 2.95-2.99
Se4 0.0000 0.7512 0.2418  1 Er 2.87, 2 Pu 2.91, 3 Pm 2.95-2.98

Summary:
**Raw formation energy**: -13.939 eV/f.u.

(3)
## BaTeW2 (PBE)

Data for a relaxed structure of BaTeW2.

a b c (Å): 9.8957 9.8957 9.8957
angles (deg): 20.27 20.27 20.27
Closest atoms and distances in Å follow each position.
Element x y z (fractional)
Te1 0.7319 0.7319 0.7319  3 W 2.92
W1 0.2706 0.2706 0.2706  3 W 2.57
W2 0.9922 0.9922 0.9922  3 W 2.57
Ba1 0.5054 0.5054 0.5054  6 Ba 3.48, 3 W 3.50, 3 Te 3.70

Summary:
**Raw formation energy**: 2.541 eV/f.u.

(4)
## K3Ce2PuTe6 (PBE)

Data for a relaxed structure of K3Ce2PuTe6.

a b c (Å): 8.0196 8.0196 8.6256
angles (deg): 98.91 98.91 120.00
Closest atoms and distances in Å follow each position.
Element x y z (fractional)
K1 0.1665 0.8335 0.5000  6 Te 3.57
K2 0.5000 0.5000 0.5000  6 Te 3.57
K3 0.8335 0.1665 0.5000  6 Te 3.57
Te1 0.5962 0.9294 0.7882  1 Pu 3.19, 2 Ce 3.19, 2 K 3.57
Te2 0.7374 0.7374 0.2120  1 Pu 3.19, 2 Ce 3.19, 3 K 3.57
Te3 0.4038 0.0706 0.2118  1 Pu 3.19, 2 Ce 3.19, 2 K 3.57
Te4 0.2626 0.2626 0.7880  1 Pu 3.19, 2 Ce 3.19, 3 K 3.57
Te5 0.9294 0.5962 0.7882  1 Pu 3.19, 2 Ce 3.19, 2 K 3.57
Te6 0.0706 0.4038 0.2118  1 Pu 3.19, 2 Ce 3.19, 2 K 3.57
Pu1 0.0000 0.0000 0.0000  6 Te 3.19
Ce1 0.3334 0.6666 0.0000  6 Te 3.19
Ce2 0.6666 0.3334 0.0000  6 Te 3.19

Summary:
**Raw formation energy**: -15.299 eV/f.u.

(5)
## Ba2AsP (PBE)

Data for a relaxed structure of Ba2AsP.

a b c (Å): 5.4338 5.4338 4.2327
angles (deg): 90.00 90.00 101.60
Closest atoms and distances in Å follow each position.
Element x y z (fractional)
P1 0.5000 0.0000 0.5000  2 As 3.43, 8 Ba 3.44
As1 0.0000 0.5000 0.5000  2 P 3.43, 8 Ba 3.44
Ba1 0.0000 0.0000 0.0000  2 Ba 3.43, 4 P 3.44, 4 As 3.44
Ba2 0.5000 0.5000 0.0000  2 Ba 3.43, 4 As 3.44, 4 P 3.44

Summary:
**ΔH_f (0 K)**: -730 meV/atom

(6)
## PaIn2Br6 (PBE)

Data for a relaxed structure of PaIn2Br6.

a b c (Å): 8.4148 7.7400 11.0934
angles (deg): 95.50 90.00 90.00
Closest atoms and distances in Å follow each position.
Element x y z (fractional)
Br1 0.7226 0.8346 0.5697  1 Pa 2.81
Br2 0.1759 0.7010 0.5451  1 Pa 2.83
Br3 0.0463 0.1395 0.7410  1 Pa 2.81
Br4 0.8241 0.2990 0.4549  1 Pa 2.83
Br5 0.4537 0.6395 0.2410  1 Pa 2.81
Br6 0.6759 0.7990 0.9549  1 Pa 2.83
Br7 0.7774 0.3346 0.0697  1 Pa 2.81
Br8 0.2774 0.1654 0.4303  1 Pa 2.81
Br9 0.3241 0.2010 0.0451  1 Pa 2.83
Br10 0.2226 0.6654 0.9303  1 Pa 2.81
Br11 0.9537 0.8605 0.2590  1 Pa 2.81
Br12 0.5463 0.3605 0.7590  1 Pa 2.81
In1 0.9005 0.5359 0.7218  7 Br 3.32-3.66
In2 0.4005 0.9641 0.7782  7 Br 3.32-3.66
In3 0.0995 0.4641 0.2782  7 Br 3.32-3.66
In4 0.5995 0.0359 0.2218  7 Br 3.32-3.66
Pa1 0.5000 0.5000 0.0000  6 Br 2.81-2.83
Pa2 0.0000 0.0000 0.5000  6 Br 2.81-2.83

Summary:
**Raw formation energy**: -10.260 eV/f.u.

(7)
## Rb2PaNbO6 (PBE)

Data for a relaxed structure of Rb2PaNbO6.

a b c (Å): 4.4368 5.9712 5.9712
angles (deg): 90.00 90.00 90.00
Closest atoms and distances in Å follow each position.
Element x y z (fractional)
Nb1 0.5911 0.0000 0.0000  5 O 1.83-2.04
O1 0.6533 0.2392 0.2392  1 Nb 2.04, 1 Pa 2.20
O2 0.1493 0.5000 0.5000  2 Pa 2.21-2.22
O3 0.1792 0.0000 0.0000  1 Nb 1.83
O4 0.6533 0.2392 0.7608  1 Nb 2.04, 1 Pa 2.20
O5 0.6533 0.7608 0.7608  1 Nb 2.04, 1 Pa 2.20
O6 0.6533 0.7608 0.2392  1 Nb 2.04, 1 Pa 2.20
Rb1 0.1332 0.5000 0.0000  12 O 2.99-3.13
Rb2 0.1332 0.0000 0.5000  12 O 2.99-3.13
Pa1 0.6478 0.5000 0.5000  6 O 2.20-2.22

Summary:
**Raw formation energy**: -27.489 eV/f.u.

(8)
## HfTc2Sb (PBE)

Data for a relaxed structure of HfTc2Sb.

a b c (Å): 7.2973 7.2973 5.9300
angles (deg): 52.03 52.03 90.00
Closest atoms and distances in Å follow each position.
Element x y z (fractional)
Tc1 0.1266 0.6250 0.2500  2 Sb 2.67, 2 Hf 2.69, 2 Tc 2.92
Tc2 0.3750 0.3766 0.7500  2 Sb 2.67, 2 Hf 2.69, 2 Tc 2.92
Tc3 0.8750 0.8734 0.7500  2 Sb 2.67, 2 Hf 2.69, 2 Tc 2.92
Tc4 0.6234 0.1250 0.2500  2 Sb 2.67, 2 Hf 2.69, 2 Tc 2.92
Hf1 0.0000 0.0000 0.0000  4 Tc 2.69, 2 Sb 2.92
Hf2 0.7500 0.2500 0.5000  4 Tc 2.69, 2 Sb 2.92
Sb1 0.5000 0.5000 0.0000  4 Tc 2.67, 2 Hf 2.92
Sb2 0.2500 0.7500 0.5000  4 Tc 2.67, 2 Hf 2.92

Summary:
**Raw formation energy**: 2.522 eV/f.u.

(9)
## TaTl3Br7 (PBE)

Data for a relaxed structure of TaTl3Br7.

a b c (Å): 9.4093 9.4093 10.0967
angles (deg): 90.00 90.00 110.68
Closest atoms and distances in Å follow each position.
Element x y z (fractional)
Br1 0.7184 0.9427 0.5441  1 Ta 2.55
Br2 0.7176 0.9415 0.9564  1 Ta 2.55
Br3 0.3609 0.6391 0.2500  4 Tl 3.18-3.32
Br4 0.3558 0.6442 0.7500  4 Tl 3.21-3.37
Br5 0.0573 0.2816 0.9559  1 Ta 2.55
Br6 0.0520 0.9480 0.7500  2 Ta 2.65
Br7 0.6391 0.3609 0.7500  4 Tl 3.18-3.32
Br8 0.2816 0.0573 0.0441  1 Ta 2.55
Br9 0.6442 0.3558 0.2500  4 Tl 3.21-3.37
Br10 0.2824 0.0585 0.4564  1 Ta 2.55
Br11 0.9415 0.7176 0.0436  1 Ta 2.55
Br12 0.9427 0.7184 0.4559  1 Ta 2.55
Br13 0.0585 0.2824 0.5436  1 Ta 2.55
Br14 0.9480 0.0520 0.2500  2 Ta 2.65
Tl1 0.5043 0.5043 0.0000  4 Br 3.32-3.37
Tl2 0.5509 0.9936 0.2505  6 Br 3.18-3.49
Tl3 0.4491 0.0064 0.7505  6 Br 3.18-3.49
Tl4 0.9936 0.5509 0.7495  6 Br 3.18-3.49
Tl5 0.4957 0.4957 0.5000  4 Br 3.32-3.37
Tl6 0.0064 0.4491 0.2495  6 Br 3.18-3.49
Ta1 0.0001 0.0001 0.5000  6 Br 2.55-2.65
Ta2 0.9999 0.9999 0.0000  6 Br 2.55-2.65

Summary:
**Raw formation energy**: -8.776 eV/f.u.

(10)
## BeMoPd (PBE)

Data for a relaxed structure of BeMoPd.

a b c (Å): 2.7382 2.7382 5.4962
angles (deg): 104.42 104.42 90.00
Closest atoms and distances in Å follow each position.
Element x y z (fractional)
Mo1 0.0136 0.0136 0.0273  4 Be 2.56, 4 Mo 2.74, 4 Pd 2.85
Be1 0.6759 0.6759 0.3519  4 Pd 2.38, 4 Mo 2.56
Pd1 0.3104 0.3104 0.6209  4 Be 2.38

Summary:
**ΔH_f (0 K)**: -220 meV/atom

(11)
## LiTh3Tl4Se8 (PBE)

Data for a relaxed structure of LiTh3Tl4Se8.

a b c (Å): 8.5498 9.2224 8.5495
angles (deg): 117.61 120.00 90.00
Closest atoms and distances in Å follow each position.
Element x y z (fractional)
Se1 0.2377 0.7059 0.9682  2 Th 2.93, 1 Li 2.97
Se2 0.2377 0.7059 0.4755  2 Th 2.93, 1 Li 2.97
Se3 0.2695 0.2941 0.0318  2 Th 2.93, 1 Li 2.97
Se4 0.7623 0.2941 0.5245  2 Th 2.93, 1 Li 2.97
Se5 0.7305 0.7059 0.9682  2 Th 2.93, 1 Li 2.97
Se6 0.7371 0.7114 0.4743  3 Th 2.97
Se7 0.7623 0.2941 0.0318  2 Th 2.93, 1 Li 2.97
Se8 0.2629 0.2886 0.5257  3 Th 2.97
Th1 0.5000 0.5000 0.0000  6 Se 2.93-2.97
Th2 0.5000 0.5000 0.5000  6 Se 2.93-2.97
Th3 0.0000 0.5000 0.5000  6 Se 2.93-2.97
Tl1 0.0000 0.0000 0.5000  6 Se 3.34-3.38
Tl2 0.0000 0.0000 0.0000  6 Se 3.34-3.38
Tl3 0.5000 0.0000 0.5000  6 Se 3.34-3.38
Tl4 0.5000 0.0000 0.0000  6 Se 3.34
Li1 0.0000 0.5000 0.0000  6 Se 2.97

Summary:
**Raw formation energy**: -18.762 eV/f.u.

(12)
## Ho6Tm2Mg (PBE)

Data for a relaxed structure of Ho6Tm2Mg.

a b c (Å): 3.5188 3.5188 25.7014
angles (deg): 90.00 90.00 120.00
Closest atoms and distances in Å follow each position.
Element x y z (fractional)
Tm1 0.3333 0.6667 0.6738  6 Ho 3.43-3.48, 6 Tm 3.52
Tm2 0.3333 0.6667 0.3262  6 Ho 3.43-3.48, 6 Tm 3.52
Ho1 0.0000 0.0000 0.5665  7 Ho 3.42-3.52, 3 Tm 3.43
Ho2 0.0000 0.0000 0.4335  7 Ho 3.42-3.52, 3 Tm 3.43
Ho3 0.0000 0.0000 0.7837  3 Tm 3.48, 9 Ho 3.48-3.52
Ho4 0.3333 0.6667 0.8936  3 Mg 3.41, 9 Ho 3.48-3.52
Ho5 0.3333 0.6667 0.1064  3 Mg 3.41, 9 Ho 3.48-3.52
Ho6 0.0000 0.0000 0.2163  3 Tm 3.48, 9 Ho 3.48-3.52
Mg1 0.0000 0.0000 0.0000  6 Ho 3.41, 6 Mg 3.52

Summary:
**ΔH_f (0 K)**: 60 meV/atom

Total moment in μB/cell, matching the order above: 0.00, 5.84, 0.00, 7.00, 0.00, 2.02, 0.00, 4.43, 2.00, 0.00, 0.90, 0.81